This record from the Alexandria database describes an optimized crystal structure of ZnPt3Rh. The functional is GGA-PBE.

Calculated values
E_form   -28 meV per atom
Relative energy among the computed polymorphs   208 meV per atom
Spin magnetization   0.0 μB per cell
Fermi-level density of states   11.7 states/eV/cell
Crystal system   monoclinic
Calculated total energy   -5.378 eV per atom

Cell: 4.708 5.027 7.015 Å, 90.00 106.87 90.00°
Fractional coordinates of all 10 atoms:
1 Zn 0.020 0.250 0.151
2 Zn 0.980 0.750 0.849
3 Pt 0.156 0.250 0.552
4 Pt 0.252 0.750 0.251
5 Pt 0.500 0.000 0.000
6 Pt 0.500 0.500 0.000
7 Pt 0.748 0.250 0.749
8 Pt 0.844 0.750 0.448
9 Rh 0.422 0.750 0.646
10 Rh 0.578 0.250 0.354

This record from the Alexandria database describes an optimized crystal structure of Zn3Pt6Rh. The functional is GGA-PBE.

Calculated values
E_form   -307 meV per atom
Spin magnetization   0.0 μB per cell
Fermi-level density of states   17.4 states/eV/cell
Crystal system   monoclinic
Calculated total energy   -5.049 eV per atom

Cell: 7.330 4.516 9.670 Å, 90.00 110.09 90.00°
Fractional coordinates of all 20 atoms:
1 Zn 0.091 0.250 0.230
2 Zn 0.297 0.250 0.028
3 Zn 0.306 0.750 0.375
4 Zn 0.694 0.250 0.625
5 Zn 0.703 0.750 0.972
6 Zn 0.909 0.750 0.770
7 Pt 0.095 0.250 0.727
8 Pt 0.104 0.750 0.075
9 Pt 0.297 0.250 0.533
10 Pt 0.297 0.750 0.866
11 Pt 0.487 0.250 0.327
12 Pt 0.499 0.250 0.835
13 Pt 0.501 0.750 0.165
14 Pt 0.513 0.750 0.673
15 Pt 0.703 0.250 0.134
16 Pt 0.703 0.750 0.467
17 Pt 0.896 0.250 0.925
18 Pt 0.905 0.750 0.273
19 Rh 0.099 0.750 0.569
20 Rh 0.901 0.250 0.431

This record from the Alexandria database describes an optimized crystal structure of ZnPt8Rh2. The functional is GGA-PBE.

Calculated values
E_form   214 meV per atom
Relative energy among the computed polymorphs   348 meV per atom
Spin magnetization   0.0 μB per cell
Fermi-level density of states   18.4 states/eV/cell
Crystal system   monoclinic
Calculated total energy   -5.632 eV per atom

Cell: 6.805 6.805 4.681 Å, 102.64 102.64 61.25°
Fractional coordinates of all 11 atoms:
1 Zn 0.000 0.000 0.000
2 Pt 0.228 0.228 0.086
3 Pt 0.231 0.628 0.208
4 Pt 0.356 0.356 0.666
5 Pt 0.372 0.769 0.792
6 Pt 0.628 0.231 0.208
7 Pt 0.644 0.644 0.334
8 Pt 0.769 0.372 0.792
9 Pt 0.772 0.772 0.914
10 Rh 0.120 0.120 0.517
11 Rh 0.880 0.880 0.483

This record from the Alexandria database describes an optimized crystal structure of ZnPtRh. The functional is GGA-PBE.

Calculated values
E_form   -223 meV per atom
Relative energy among the computed polymorphs   98 meV per atom
Spin magnetization   0.0 μB per cell
Fermi-level density of states   4.4 states/eV/cell
Crystal system   orthorhombic
Calculated total energy   -5.112 eV per atom

Cell: 4.826 4.826 4.826 Å, 146.73 134.06 57.90°
Fractional coordinates of all 3 atoms:
1 Zn 0.000 0.000 0.000
2 Pt 0.663 0.663 0.000
3 Rh 0.341 0.341 0.000

This record from the Alexandria database describes an optimized crystal structure of Zn3PtRh2. The functional is GGA-PBE.

Calculated values
E_form   -483 meV per atom
Relative energy among the computed polymorphs   0 meV per atom
Spin magnetization   0.0 μB per cell
Fermi-level density of states   2.6 states/eV/cell
Crystal system   trigonal
Calculated total energy   -4.578 eV per atom

Cell: 4.298 4.298 10.503 Å, 90.00 90.00 120.00°
Fractional coordinates of all 12 atoms:
1 Zn 0.000 0.000 0.248
2 Zn 0.000 0.000 0.752
3 Zn 0.333 0.667 0.417
4 Zn 0.333 0.667 0.919
5 Zn 0.667 0.333 0.081
6 Zn 0.667 0.333 0.583
7 Pt 0.333 0.667 0.667
8 Pt 0.667 0.333 0.333
9 Rh 0.000 0.000 0.000
10 Rh 0.000 0.000 0.500
11 Rh 0.333 0.667 0.168
12 Rh 0.667 0.333 0.832

This record from the Alexandria database describes an optimized crystal structure of ZnPtRh4. The functional is GGA-PBE.

Calculated values
E_form   -96 meV per atom
Relative energy among the computed polymorphs   0 meV per atom
Spin magnetization   0.0 μB per cell
Fermi-level density of states   8.7 states/eV/cell
Crystal system   tetragonal
Calculated total energy   -6.216 eV per atom

Cell: 2.752 2.752 11.367 Å, 90.00 90.00 90.00°
Fractional coordinates of all 6 atoms:
1 Zn 0.000 0.000 0.000
2 Pt 0.500 0.500 0.500
3 Rh 0.000 0.000 0.325
4 Rh 0.000 0.000 0.675
5 Rh 0.500 0.500 0.163
6 Rh 0.500 0.500 0.837

This record from the Alexandria database describes an optimized crystal structure of ZnPt6Rh. The functional is GGA-PBE.

Calculated values
E_form   -168 meV per atom
Relative energy among the computed polymorphs   0 meV per atom
Spin magnetization   0.9 μB per cell
Fermi-level density of states   12.9 states/eV/cell
Crystal system   tetragonal
Calculated total energy   -5.777 eV per atom

Cell: 3.930 3.930 7.906 Å, 90.00 90.00 90.00°
Fractional coordinates of all 8 atoms:
1 Zn 0.000 0.000 0.000
2 Pt 0.000 0.500 0.248
3 Pt 0.000 0.500 0.752
4 Pt 0.500 0.000 0.248
5 Pt 0.500 0.000 0.752
6 Pt 0.500 0.500 0.000
7 Pt 0.500 0.500 0.500
8 Rh 0.000 0.000 0.500

This record from the Alexandria database describes an optimized crystal structure of Zn2PtRh. The functional is GGA-PBE.

Calculated values
E_form   -96 meV per atom
Spin magnetization   0.0 μB per cell
Fermi-level density of states   4.1 states/eV/cell
Crystal system   orthorhombic
Calculated total energy   -4.081 eV per atom

Cell: 2.750 2.750 8.956 Å, 90.00 90.00 118.46°
Fractional coordinates of all 4 atoms:
1 Zn 0.000 0.000 0.000
2 Zn 0.500 0.500 0.254
3 Pt 0.500 0.500 0.755
4 Rh 0.000 0.000 0.490

This record from the Alexandria database describes an optimized crystal structure of Zn4PtRh. The functional is GGA-PBE.

Calculated values
E_form   -388 meV per atom
Relative energy among the computed polymorphs   0 meV per atom
Spin magnetization   0.0 μB per cell
Fermi-level density of states   1.7 states/eV/cell
Crystal system   monoclinic
Calculated total energy   -3.469 eV per atom

Cell: 4.638 4.638 5.746 Å, 106.65 106.65 47.17°
Fractional coordinates of all 6 atoms:
1 Zn 0.163 0.163 0.325
2 Zn 0.163 0.163 0.834
3 Zn 0.837 0.837 0.166
4 Zn 0.837 0.837 0.675
5 Pt 0.500 0.500 0.500
6 Rh 0.500 0.500 0.000

This record from the Alexandria database describes an optimized crystal structure of ZnPt3Rh4. The functional is GGA-PBE.

Calculated values
E_form   -115 meV per atom
Spin magnetization   0.0 μB per cell
Fermi-level density of states   10.6 states/eV/cell
Crystal system   monoclinic
Calculated total energy   -6.216 eV per atom

Cell: 4.751 4.751 7.788 Å, 114.35 114.35 48.53°
Fractional coordinates of all 8 atoms:
1 Zn 0.000 0.000 0.000
2 Pt 0.000 0.000 0.500
3 Pt 0.499 0.499 0.755
4 Pt 0.501 0.501 0.245
5 Rh 0.248 0.248 0.877
6 Rh 0.249 0.249 0.372
7 Rh 0.751 0.751 0.628
8 Rh 0.752 0.752 0.123

This record from the Alexandria database describes an optimized crystal structure of Zn2PtRh2. The functional is GGA-PBE.

Calculated values
E_form   -125 meV per atom
Relative energy among the computed polymorphs   188 meV per atom
Spin magnetization   0.0 μB per cell
Fermi-level density of states   11.3 states/eV/cell
Crystal system   tetragonal
Calculated total energy   -4.783 eV per atom

Cell: 7.099 7.099 2.950 Å, 90.00 90.00 90.00°
Fractional coordinates of all 10 atoms:
1 Zn 0.168 0.332 0.000
2 Zn 0.332 0.832 0.000
3 Zn 0.668 0.168 0.000
4 Zn 0.832 0.668 0.000
5 Pt 0.000 0.000 0.500
6 Pt 0.500 0.500 0.500
7 Rh 0.131 0.631 0.500
8 Rh 0.369 0.131 0.500
9 Rh 0.631 0.869 0.500
10 Rh 0.869 0.369 0.500

This record from the Alexandria database describes an optimized crystal structure of Zn4PtRh. The functional is GGA-PBE.

Calculated values
E_form   -201 meV per atom
Relative energy among the computed polymorphs   187 meV per atom
Spin magnetization   0.0 μB per cell
Fermi-level density of states   0.8 states/eV/cell
Crystal system   cubic
Calculated total energy   -3.282 eV per atom

Cell: 4.922 4.922 4.922 Å, 60.00 60.00 60.00°
Fractional coordinates of all 6 atoms:
1 Zn 0.125 0.125 0.125
2 Zn 0.125 0.125 0.625
3 Zn 0.125 0.625 0.125
4 Zn 0.625 0.125 0.125
5 Pt 0.750 0.750 0.750
6 Rh 0.500 0.500 0.500

This record from the Alexandria database describes an optimized crystal structure of ZnPt7Rh2. The functional is GGA-PBE.

Calculated values
E_form   356 meV per atom
Spin magnetization   0.0 μB per cell
Fermi-level density of states   13.2 states/eV/cell
Crystal system   orthorhombic
Calculated total energy   -5.470 eV per atom

Cell: 7.416 7.416 4.126 Å, 90.00 90.00 121.79°
Fractional coordinates of all 10 atoms:
1 Zn 0.000 0.000 0.000
2 Pt 0.082 0.294 0.500
3 Pt 0.193 0.807 0.000
4 Pt 0.294 0.082 0.500
5 Pt 0.500 0.500 0.500
6 Pt 0.706 0.918 0.500
7 Pt 0.807 0.193 0.000
8 Pt 0.918 0.706 0.500
9 Rh 0.302 0.698 0.500
10 Rh 0.698 0.302 0.500

This record from the Alexandria database describes an optimized crystal structure of ZnPt3Rh. The functional is GGA-PBE.

Calculated values
E_form   1259 meV per atom
Relative energy among the computed polymorphs   1496 meV per atom
Spin magnetization   1.7 μB per cell
Fermi-level density of states   7.5 states/eV/cell
Crystal system   cubic
Calculated total energy   -4.090 eV per atom

Cell: 4.819 4.819 4.819 Å, 90.00 90.00 90.00°
Fractional coordinates of all 5 atoms:
1 Zn 0.000 0.000 0.000
2 Pt 0.000 0.500 0.500
3 Pt 0.500 0.000 0.500
4 Pt 0.500 0.500 0.000
5 Rh 0.500 0.500 0.500

This record from the Alexandria database describes an optimized crystal structure of ZnPtRh. The functional is GGA-PBE.

Calculated values
E_form   -285 meV per atom
Relative energy among the computed polymorphs   36 meV per atom
Spin magnetization   0.0 μB per cell
Fermi-level density of states   6.2 states/eV/cell
Crystal system   monoclinic
Calculated total energy   -5.174 eV per atom

Cell: 4.660 4.660 5.487 Å, 104.15 104.15 49.67°
Fractional coordinates of all 6 atoms:
1 Zn 0.163 0.163 0.330
2 Zn 0.837 0.837 0.670
3 Pt 0.169 0.169 0.829
4 Pt 0.831 0.831 0.171
5 Rh 0.500 0.500 0.000
6 Rh 0.500 0.500 0.500

This record from the Alexandria database describes an optimized crystal structure of ZnPt2Rh2. The functional is GGA-PBE.

Calculated values
E_form   84 meV per atom
Relative energy among the computed polymorphs   291 meV per atom
Spin magnetization   0.0 μB per cell
Fermi-level density of states   16.9 states/eV/cell
Crystal system   tetragonal
Calculated total energy   -5.528 eV per atom

Cell: 6.560 6.560 3.706 Å, 90.00 90.00 90.00°
Fractional coordinates of all 10 atoms:
1 Zn 0.000 0.000 0.000
2 Zn 0.500 0.500 0.000
3 Pt 0.156 0.344 0.500
4 Pt 0.344 0.844 0.500
5 Pt 0.656 0.156 0.500
6 Pt 0.844 0.656 0.500
7 Rh 0.140 0.640 0.000
8 Rh 0.360 0.140 0.000
9 Rh 0.640 0.860 0.000
10 Rh 0.860 0.360 0.000

This record from the Alexandria database describes an optimized crystal structure of Zn2Pt4Rh. The functional is GGA-PBE.

Calculated values
E_form   -194 meV per atom
Spin magnetization   0.0 μB per cell
Fermi-level density of states   6.0 states/eV/cell
Crystal system   orthorhombic
Calculated total energy   -5.061 eV per atom

Cell: 5.465 5.465 3.739 Å, 90.00 90.00 96.96°
Fractional coordinates of all 7 atoms:
1 Zn 0.241 0.759 0.000
2 Zn 0.759 0.241 0.000
3 Pt 0.000 0.500 0.500
4 Pt 0.281 0.281 0.000
5 Pt 0.500 0.000 0.500
6 Pt 0.719 0.719 0.000
7 Rh 0.000 0.000 0.500

This record from the Alexandria database describes an optimized crystal structure of Zn2PtRh. The functional is GGA-PBE.

Calculated values
E_form   -504 meV per atom
Spin magnetization   0.0 μB per cell
Fermi-level density of states   1.2 states/eV/cell
Crystal system   tetragonal
Calculated total energy   -4.489 eV per atom

Cell: 4.275 4.275 3.096 Å, 90.00 90.00 90.00°
Fractional coordinates of all 4 atoms:
1 Zn 0.000 0.500 0.000
2 Zn 0.500 0.000 0.000
3 Pt 0.000 0.000 0.500
4 Rh 0.500 0.500 0.500

This record from the Alexandria database describes an optimized crystal structure of ZnPtRh. The functional is GGA-PBE.

Calculated values
E_form   -298 meV per atom
Relative energy among the computed polymorphs   23 meV per atom
Spin magnetization   0.0 μB per cell
Fermi-level density of states   5.1 states/eV/cell
Crystal system   monoclinic
Calculated total energy   -5.187 eV per atom

Cell: 4.685 2.787 6.932 Å, 90.00 105.21 90.00°
Fractional coordinates of all 6 atoms:
1 Zn 0.000 0.000 0.000
2 Zn 0.253 0.000 0.653
3 Pt 0.756 0.500 0.671
4 Pt 0.974 0.500 0.328
5 Rh 0.478 0.000 0.318
6 Rh 0.488 0.500 0.985

This record from the Alexandria database describes an optimized crystal structure of Zn5Pt4Rh. The functional is GGA-PBE.

Calculated values
E_form   -517 meV per atom
Spin magnetization   0.0 μB per cell
Fermi-level density of states   4.5 states/eV/cell
Crystal system   tetragonal
Calculated total energy   -4.306 eV per atom

Cell: 3.111 3.111 14.901 Å, 90.00 90.00 90.00°
Fractional coordinates of all 10 atoms:
1 Zn 0.000 0.000 0.000
2 Zn 0.000 0.000 0.201
3 Zn 0.000 0.000 0.404
4 Zn 0.000 0.000 0.596
5 Zn 0.000 0.000 0.799
6 Pt 0.500 0.500 0.100
7 Pt 0.500 0.500 0.301
8 Pt 0.500 0.500 0.699
9 Pt 0.500 0.500 0.900
10 Rh 0.500 0.500 0.500

This record from the Alexandria database describes an optimized crystal structure of Zn4Pt3Rh. The functional is GGA-PBE.

Calculated values
E_form   -532 meV per atom
Spin magnetization   0.0 μB per cell
Fermi-level density of states   2.5 states/eV/cell
Crystal system   tetragonal
Calculated total energy   -4.353 eV per atom

Cell: 4.180 4.180 6.585 Å, 90.00 90.00 90.00°
Fractional coordinates of all 8 atoms:
1 Zn 0.000 0.500 0.246
2 Zn 0.000 0.500 0.754
3 Zn 0.500 0.000 0.246
4 Zn 0.500 0.000 0.754
5 Pt 0.000 0.000 0.000
6 Pt 0.000 0.000 0.500
7 Pt 0.500 0.500 0.500
8 Rh 0.500 0.500 0.000

This record from the Alexandria database describes an optimized crystal structure of Zn2PtRh. The functional is GGA-PBE.

Calculated values
E_form   -327 meV per atom
Spin magnetization   0.0 μB per cell
Fermi-level density of states   3.3 states/eV/cell
Crystal system   orthorhombic
Calculated total energy   -4.312 eV per atom

Cell: 5.247 5.247 5.247 Å, 147.48 131.35 59.74°
Fractional coordinates of all 4 atoms:
1 Zn 0.000 0.000 0.000
2 Zn 0.750 0.250 0.500
3 Pt 0.245 0.745 0.500
4 Rh 0.508 0.508 0.000

This record from the Alexandria database describes an optimized crystal structure of Zn2PtRh. The functional is GGA-PBE.

Calculated values
E_form   -173 meV per atom
Spin magnetization   0.6 μB per cell
Fermi-level density of states   3.9 states/eV/cell
Crystal system   trigonal
Calculated total energy   -4.158 eV per atom

Cell: 8.952 8.952 8.952 Å, 17.87 17.87 17.87°
Fractional coordinates of all 4 atoms:
1 Zn 0.000 0.000 0.000
2 Zn 0.248 0.248 0.248
3 Pt 0.500 0.500 0.500
4 Rh 0.745 0.745 0.745

This record from the Alexandria database describes an optimized crystal structure of Zn2PtRh. The functional is GGA-PBE.

Calculated values
E_form   -313 meV per atom
Spin magnetization   0.0 μB per cell
Fermi-level density of states   3.5 states/eV/cell
Crystal system   tetragonal
Calculated total energy   -4.298 eV per atom

Cell: 4.824 4.824 4.824 Å, 133.50 133.50 67.87°
Fractional coordinates of all 4 atoms:
1 Zn 0.000 0.000 0.000
2 Zn 0.750 0.250 0.500
3 Pt 0.250 0.750 0.500
4 Rh 0.500 0.500 0.000